1.
The following is a PBE calculation of a relaxed structure of Tb3Sm6Ho2Zr, from Alexandria.

Cell: 6.1533 6.1533 11.7409 Å, 94.98 94.98 119.91°
Positions (direct):
1 Sm 0.7544 0.7544 0.2437
2 Sm 0.4086 0.0814 0.2444
3 Sm 0.0814 0.4086 0.2444
4 Sm 0.5914 0.9186 0.7556
5 Sm 0.9186 0.5914 0.7556
6 Sm 0.2456 0.2456 0.7563
7 Tb 0.8338 0.1662 0.5000
8 Tb 0.5000 0.5000 0.5000
9 Tb 0.1662 0.8338 0.5000
10 Ho 0.3330 0.6670 0.0000
11 Ho 0.6670 0.3330 0.0000
12 Zr 0.0000 0.0000 0.0000

Properties
space group = C2/m, No. 12
formation energy from the elements = 0.05 eV per atom
total DFT energy (no corrections) = -4.943 eV/atom

=====

2.
The following is a PBE calculation of a relaxed structure of LiLa2TbTe4, from Alexandria.

Cell: 4.4657 7.7714 7.6908 Å, 109.52 90.00 90.00°
Positions (direct):
1 Te 0.0000 0.2507 0.7683
2 Te 0.0000 0.7493 0.2317
3 Te 0.5000 0.2394 0.2295
4 Te 0.5000 0.7606 0.7705
5 La 0.5000 0.0000 0.5000
6 La 0.0000 0.5000 0.5000
7 Li 0.0000 0.0000 0.0000
8 Tb 0.5000 0.5000 0.0000

Properties
space group = P2/m, No. 10
total DFT energy (no corrections) = -5.053 eV/atom

=====

3.
The following is a PBE calculation of a relaxed structure of SmPu2ThSe4, from Alexandria.

Cell: 4.1335 7.1925 7.2551 Å, 109.10 90.00 90.00°
Last column: magnetic moment on the atom in μB.
Positions (direct):
1 Se 0.5000 0.7504 0.7452  -0.04
2 Se 0.0000 0.2451 0.7426  -0.04
3 Se 0.5000 0.2496 0.2548  -0.04
4 Se 0.0000 0.7549 0.2574  -0.04
5 Pu 0.5000 0.0000 0.5000  5.42
6 Pu 0.0000 0.5000 0.5000  5.46
7 Th 0.5000 0.5000 0.0000  0.07
8 Sm 0.0000 0.0000 0.0000  0.00

Properties
space group = P2/m, No. 10
total DFT energy (no corrections) = -8.463 eV/atom

=====

4.
The following is a PBE calculation of a relaxed structure of Mn2SiI, from Alexandria.

Cell: 6.4046 3.9308 6.5235 Å, 90.00 107.91 90.00°
Last column: magnetic moment on the atom in μB.
Positions (direct):
1 I 0.0000 0.4809 0.0000  -0.01
2 I 0.0000 0.9809 0.5000  -0.01
3 Mn 0.6465 0.3272 0.2059  2.98
4 Mn 0.3535 0.8272 0.2941  2.98
5 Mn 0.6465 0.8272 0.7059  2.98
6 Mn 0.3535 0.3272 0.7941  2.98
7 Si 0.5000 0.3312 0.5000  -0.20
8 Si 0.5000 0.8312 0.0000  -0.20

Properties
space group = C2, No. 5
energy relative to the lowest polymorph listed for this composition = 0.14 eV per formula unit
total DFT energy (no corrections) = -6.167 eV/atom

=====

5.
The following is a PBE calculation of a relaxed structure of AcTm2Cd, from Alexandria.

Cell: 5.0986 4.9514 4.9514 Å, 90.00 90.00 90.00°
Positions (direct):
1 Tm 0.0000 0.0000 0.5000
2 Tm 0.0000 0.5000 0.0000
3 Cd 0.5000 0.0000 0.0000
4 Ac 0.5000 0.5000 0.5000

Properties
space group = P4/mmm, No. 123
energy relative to the lowest polymorph listed for this composition = 0.36 eV per formula unit
formation energy from the elements = -0.01 eV per atom
total DFT energy (no corrections) = -3.503 eV/atom

=====

6.
The following is a PBE calculation of a relaxed structure of Mg2H2Ir5, from Alexandria.

Cell: 7.2038 4.6945 4.8694 Å, 103.75 105.85 121.66°
Positions (direct):
1 Ir 0.5368 0.8091 0.9570
2 Ir 0.9180 0.9355 0.8672
3 Ir 0.2991 0.0620 0.7773
4 Ir 0.7617 0.5647 0.2302
5 Ir 0.0743 0.3063 0.5042
6 Mg 0.6754 0.1617 0.5922
7 Mg 0.1610 0.7100 0.1424
8 H 0.1953 0.3043 0.2320
9 H 0.6406 0.5666 0.5023

Properties
space group = P-1, No. 2
energy relative to the lowest polymorph listed for this composition = 0.29 eV per formula unit
total DFT energy (no corrections) = -6.067 eV/atom

=====

7.
The following is a PBE calculation of a relaxed structure of Mg2SiB, from Alexandria.

Cell: 6.8289 3.4203 12.1542 Å, 90.00 112.48 90.00°
Positions (direct):
1 Mg 0.2774 0.5000 0.6735
2 Mg 0.6395 0.5000 0.3793
3 Mg 0.2994 0.5000 0.9478
4 Mg 0.9644 0.5000 0.2512
5 Mg 0.2774 0.0000 0.1735
6 Mg 0.2994 0.0000 0.4478
7 Mg 0.9644 0.0000 0.7512
8 Mg 0.6395 0.0000 0.8793
9 Si 0.6285 0.0000 0.1214
10 Si 0.6285 0.5000 0.6214
11 Si 0.9625 0.0000 0.5179
12 Si 0.9625 0.5000 0.0179
13 B 0.6856 0.5000 0.0450
14 B 0.6856 0.0000 0.5450
15 B 0.0403 0.0000 0.9577
16 B 0.0403 0.5000 0.4577

Properties
space group = Cm, No. 8
energy relative to the lowest polymorph listed for this composition = 0.32 eV per formula unit
total DFT energy (no corrections) = -3.745 eV/atom

=====

8.
The following is a PBE calculation of a relaxed structure of TbNdZnHg, from Alexandria.

Cell: 3.6761 3.6761 7.5491 Å, 90.00 90.00 90.00°
Positions (direct):
1 Nd 0.5000 0.5000 0.1248
2 Hg 0.0000 0.0000 0.8415
3 Tb 0.5000 0.5000 0.5907
4 Zn 0.0000 0.0000 0.3709

Properties
space group = P4mm, No. 99
energy relative to the lowest polymorph listed for this composition = 0.00 eV per formula unit
formation energy from the elements = -0.40 eV per atom
total DFT energy (no corrections) = -3.147 eV/atom

=====

9.
The following is a PBE calculation of a relaxed structure of KLaIn, from Alexandria.

Cell: 5.6141 5.6141 5.6141 Å, 60.00 60.00 60.00°
Positions (direct):
1 La 0.5000 0.5000 0.5000
2 In 0.7500 0.7500 0.7500
3 K 0.0000 0.0000 0.0000

Properties
space group = F-43m, No. 216
energy relative to the lowest polymorph listed for this composition = 0.59 eV per formula unit
formation energy from the elements = 0.16 eV per atom
total DFT energy (no corrections) = -2.761 eV/atom

=====

10.
The following is a PBE calculation of a relaxed structure of NdPu2H8, from Alexandria.

Cell: 3.7983 5.1810 6.5408 Å, 113.33 106.88 90.00°
Last column: magnetic moment on the atom in μB.
Positions (direct):
1 Nd 0.5000 0.0000 0.0000  0.09
2 Pu 0.8195 0.3195 0.6390  5.19
3 Pu 0.1805 0.6805 0.3610  5.19
4 H 0.1706 0.1706 0.3412  -0.03
5 H 0.6585 0.8876 0.3171  -0.02
6 H 0.3415 0.5705 0.6829  -0.02
7 H 0.0000 0.2824 0.0000  -0.02
8 H 0.6585 0.4295 0.3171  -0.02
9 H 0.3415 0.1124 0.6829  -0.02
10 H 0.0000 0.7176 0.0000  -0.02
11 H 0.8294 0.8294 0.6588  -0.03

Properties
space group = Immm, No. 71
total DFT energy (no corrections) = -5.944 eV/atom

=====

11.
The following is a PBE calculation of a relaxed structure of SiMo3Pd, from Alexandria.

Cell: 4.4661 4.4661 4.4661 Å, 90.00 90.00 90.00°
Positions (direct):
1 Pd 0.5000 0.5000 0.5000
2 Mo 0.5000 0.0000 0.0000
3 Mo 0.0000 0.0000 0.5000
4 Mo 0.0000 0.5000 0.0000
5 Si 0.0000 0.0000 0.0000

Properties
space group = Pm-3m, No. 221
energy relative to the lowest polymorph listed for this composition = 0.00 eV per formula unit
total DFT energy (no corrections) = -7.603 eV/atom

=====

12.
The following is a PBE calculation of a relaxed structure of Ba2AgBi2, from Alexandria.

Cell: 6.9651 6.9651 6.7106 Å, 58.74 58.74 90.00°
Positions (direct):
1 Ag 0.0000 0.0000 0.0000
2 Bi 0.3182 0.3182 0.3635
3 Bi 0.6818 0.6818 0.6365
4 Ba 0.7500 0.2500 0.5000
5 Ba 0.2500 0.7500 0.5000

Properties
space group = I4/mmm, No. 139
energy relative to the lowest polymorph listed for this composition = 1.44 eV per formula unit
formation energy from the elements = -0.40 eV per atom
total DFT energy (no corrections) = -3.290 eV/atom

=====

13.
The following is a PBE calculation of a relaxed structure of Li4Mn, from Alexandria.

Cell: 4.9763 4.9763 4.9763 Å, 90.00 90.00 90.00°
Last column: magnetic moment on the atom in μB.
Positions (direct):
1 Li 0.0000 0.0000 0.0000  -0.02
2 Li 0.5000 0.0000 0.5000  0.01
3 Li 0.5000 0.5000 0.0000  0.01
4 Li 0.0000 0.5000 0.5000  0.01
5 Mn 0.5000 0.5000 0.5000  3.92

Properties
space group = Pm-3m, No. 221
energy relative to the lowest polymorph listed for this composition = 1.10 eV per formula unit
formation energy from the elements = 0.62 eV per atom
total DFT energy (no corrections) = -2.741 eV/atom

=====

14.
The following is a PBE calculation of a relaxed structure of Li2MnTc, from Alexandria.

Cell: 4.1586 4.1586 4.1586 Å, 119.98 119.97 90.05°
Last column: magnetic moment on the atom in μB.
Positions (direct):
1 Li 0.9999 0.9999 0.0000  -0.01
2 Li 0.7501 0.2501 0.5000  0.02
3 Mn 0.5000 0.5000 0.0000  2.31
4 Tc 0.2500 0.7500 0.5000  -0.80

Properties
space group = F-43m, No. 216
energy relative to the lowest polymorph listed for this composition = 0.40 eV per formula unit
formation energy from the elements = 0.30 eV per atom
total DFT energy (no corrections) = -5.539 eV/atom

=====

15.
The following is a PBE calculation of a relaxed structure of Ho2Al3Co, from Alexandria.

Cell: 5.4475 5.4475 5.3532 Å, 90.01 120.66 119.92°
Positions (direct):
1 Al 0.0000 0.0000 0.5000
2 Al 0.5000 0.0000 0.5000
3 Al 0.5000 0.5000 0.5000
4 Ho 0.2525 0.6264 0.8789
5 Ho 0.7475 0.3736 0.1211
6 Co 0.0000 0.0000 0.0000

Properties
space group = R-3m, No. 166
formation energy from the elements = -0.46 eV per atom
total DFT energy (no corrections) = -5.041 eV/atom

=====

16.
The following is a PBE calculation of a relaxed structure of Tb4Pr3Ho8, from Alexandria.

Cell: 6.7545 9.2877 9.2877 Å, 87.49 111.31 111.31°
Positions (direct):
1 Ho 0.5000 0.7465 0.2535
2 Ho 0.9921 0.7382 0.7382
3 Ho 0.4644 0.7325 0.7325
4 Ho 0.0079 0.2618 0.2618
5 Ho 0.0000 0.3599 0.6401
6 Ho 0.0000 0.6401 0.3599
7 Ho 0.5356 0.2675 0.2675
8 Ho 0.5000 0.2535 0.7465
9 Tb 0.0000 0.5000 0.0000
10 Tb 0.0000 0.0000 0.0000
11 Tb 0.5000 0.0000 0.0000
12 Tb 0.0000 0.0000 0.5000
13 Pr 0.5000 0.5000 0.5000
14 Pr 0.5000 0.0000 0.5000
15 Pr 0.5000 0.5000 0.0000

Properties
space group = C2/m, No. 12
formation energy from the elements = 0.39 eV per atom
total DFT energy (no corrections) = -4.246 eV/atom

=====

17.
The following is a PBE calculation of a relaxed structure of Sm8HC3S3, from Alexandria.

Cell: 7.6252 7.6259 7.7598 Å, 119.43 90.00 120.00°
Positions (direct):
1 S 0.0000 0.5000 0.0000
2 S 0.5000 0.5000 0.0000
3 S 0.0000 0.0000 0.0000
4 Sm 0.7402 0.4803 0.7204
5 Sm 0.2514 0.5028 0.7250
6 Sm 0.7486 0.4972 0.2750
7 Sm 0.2598 0.5197 0.2796
8 Sm 0.2777 0.0264 0.2751
9 Sm 0.7487 0.0264 0.2751
10 Sm 0.2513 0.9736 0.7249
11 Sm 0.7223 0.9736 0.7249
12 C 0.5000 0.0000 0.5000
13 C 0.0000 0.5000 0.5000
14 C 0.5000 0.5000 0.5000
15 H 0.0000 0.0000 0.5000

Properties
space group = R-3m, No. 166
total DFT energy (no corrections) = -6.363 eV/atom

=====

18.
The following is a PBE calculation of a relaxed structure of AcPmGe, from Alexandria.

Cell: 5.2174 5.2174 5.2174 Å, 60.00 60.00 60.00°
Positions (direct):
1 Pm 0.0000 0.0000 0.0000
2 Ge 0.2500 0.2500 0.2500
3 Ac 0.5000 0.5000 0.5000

Properties
space group = F-43m, No. 216
energy relative to the lowest polymorph listed for this composition = 0.30 eV per formula unit
formation energy from the elements = -0.44 eV per atom
total DFT energy (no corrections) = -4.936 eV/atom

=====

19.
The following is a PBE calculation of a relaxed structure of Ce2Zn7Ni, from Alexandria.

Cell: 4.2945 4.2945 10.0191 Å, 90.00 90.00 90.00°
Last column: magnetic moment on the atom in μB.
Positions (direct):
1 Zn 0.0000 0.5000 0.8787  0.01
2 Zn 0.5000 0.0000 0.1213  0.01
3 Zn 0.0000 0.0000 0.5000  0.00
4 Zn 0.0000 0.0000 0.0000  0.00
5 Zn 0.5000 0.5000 0.5000  0.00
6 Zn 0.0000 0.5000 0.6348  0.00
7 Zn 0.5000 0.0000 0.3652  0.00
8 Ni 0.5000 0.5000 0.0000  -0.05
9 Ce 0.0000 0.5000 0.2373  0.67
10 Ce 0.5000 0.0000 0.7627  0.67

Properties
space group = P-4m2, No. 115
formation energy from the elements = -0.23 eV per atom
total DFT energy (no corrections) = -2.890 eV/atom

=====

20.
The following is a PBE calculation of a relaxed structure of Li2AlRe, from Alexandria.

Cell: 4.5047 2.6980 4.7814 Å, 89.99 90.00 90.00°
Positions (direct):
1 Li 0.5000 0.3756 0.1249
2 Li 0.0000 0.8746 0.1251
3 Re 0.0000 0.3747 0.6251
4 Al 0.5000 0.8751 0.6249

Properties
space group = Pmmm, No. 47
formation energy from the elements = 0.05 eV per atom
total DFT energy (no corrections) = -4.956 eV/atom

=====

21.
The following is a PBE calculation of a relaxed structure of MgFe2Ni, from Alexandria.

Cell: 4.9900 4.9900 4.1503 Å, 66.07 66.07 33.28°
Last column: magnetic moment on the atom in μB.
Positions (direct):
1 Mg 0.7500 0.7500 0.7500  -0.04
2 Fe 0.9862 0.9862 0.0146  2.55
3 Fe 0.5138 0.5138 0.4854  2.55
4 Ni 0.2500 0.2500 0.2500  0.59

Properties
space group = C2/m, No. 12
formation energy from the elements = 0.07 eV per atom
total DFT energy (no corrections) = -6.004 eV/atom

=====

22.
The following is a PBE calculation of a relaxed structure of YZn4Ni6, from Alexandria.

Cell: 3.8972 6.7271 6.7271 Å, 120.00 90.00 90.00°
Positions (direct):
1 Zn 0.5000 0.7961 0.2039
2 Zn 0.5000 0.7961 0.5922
3 Zn 0.0000 0.3333 0.6667
4 Zn 0.5000 0.4078 0.2039
5 Ni 0.0000 0.5347 0.0694
6 Ni 0.0000 0.5347 0.4653
7 Ni 0.5000 0.2078 0.4157
8 Ni 0.0000 0.9306 0.4653
9 Ni 0.5000 0.5843 0.7922
10 Ni 0.5000 0.2078 0.7922
11 Y 0.0000 0.0000 0.0000

Properties
space group = P-6m2, No. 187
formation energy from the elements = -0.18 eV per atom
total DFT energy (no corrections) = -4.384 eV/atom

=====

23.
The following is a PBE calculation of a relaxed structure of Ac5ZnSe4, from Alexandria.

Cell: 6.3491 7.8144 7.8144 Å, 80.50 66.03 66.03°
Positions (direct):
1 Ac 0.2995 0.8019 0.6011
2 Ac 0.1014 0.6011 0.1981
3 Ac 0.5010 0.0000 0.0000
4 Ac 0.7025 0.1981 0.3989
5 Ac 0.9007 0.3989 0.8019
6 Se 0.8042 0.7955 0.5982
7 Se 0.1979 0.2045 0.4018
8 Se 0.5997 0.5982 0.2045
9 Se 0.4024 0.4018 0.7955
10 Zn 0.0010 0.0000 0.0000

Properties
space group = I4/m, No. 87
total DFT energy (no corrections) = -5.112 eV/atom

=====

24.
The following is a PBE calculation of a relaxed structure of CaAgHRh2, from Alexandria.

Cell: 4.1002 4.1002 4.2903 Å, 90.00 90.00 90.00°
Positions (direct):
1 H 0.0000 0.0000 0.0000
2 Ag 0.0000 0.0000 0.5000
3 Rh 0.5000 0.0000 0.0000
4 Rh 0.0000 0.5000 0.0000
5 Ca 0.5000 0.5000 0.5000

Properties
space group = P4/mmm, No. 123
energy relative to the lowest polymorph listed for this composition = 0.15 eV per formula unit
total DFT energy (no corrections) = -4.686 eV/atom

=====

25.
The following is a PBE calculation of a relaxed structure of SrCa2Tc, from Alexandria.

Cell: 8.2772 8.2772 8.2772 Å, 155.72 142.95 44.79°
Last column: magnetic moment on the atom in μB.
Positions (direct):
1 Ca 0.0910 0.0910 0.0000  0.01
2 Ca 0.7463 0.2463 0.5000  -0.01
3 Sr 0.4154 0.4154 0.0000  0.01
4 Tc 0.2472 0.7472 0.5000  1.13

Properties
space group = Imm2, No. 44
energy relative to the lowest polymorph listed for this composition = 0.31 eV per formula unit
formation energy from the elements = 0.56 eV per atom
total DFT energy (no corrections) = -3.448 eV/atom